Entry 1:
The following is a DFT calculation (PBE) of crystalline Cs2Rb2HgF6 at its relaxed geometry.

Values from the calculation:
Uncorrected formation energy (kJ/mol of formula units): -2484
Crystal system: monoclinic
Space group: No. 12

abc: 6.7789 6.7789 7.1375
angles: 99.64 99.64 116.67
Sites, in units of the cell vectors:
Cs  0.8224  0.1776  0.0000
Cs  0.1776  0.8224  0.0000
Rb  0.3434  0.6566  0.5000
Rb  0.6566  0.3434  0.5000
Hg  0.0000  0.0000  0.5000
F  0.7993  0.7993  0.7080
F  0.0531  0.3552  0.6982
F  0.2007  0.2007  0.2920
F  0.3552  0.0531  0.6982
F  0.9469  0.6448  0.3018
F  0.6448  0.9469  0.3018

---

Entry 2:
The following is a DFT calculation (PBE) of crystalline CsRbHgF4 at its relaxed geometry.

Values from the calculation:
Uncorrected formation energy (kJ/mol of formula units): -1487
Crystal system: tetragonal
Space group: No. 107

abc: 4.7031 4.7031 7.8978
angles: 107.32 107.32 90.00
Sites, in units of the cell vectors:
Cs  0.6448  0.6448  0.2896
Rb  0.3602  0.3602  0.7205
Hg  0.0012  0.0012  0.0024
F  0.9950  0.4950  0.9899
F  0.4950  0.9950  0.9899
F  0.8427  0.8427  0.6853
F  0.1612  0.1612  0.3224

---

Entry 3:
The following is a DFT calculation (PBE) of crystalline Cs2RbHgF6 at its relaxed geometry.

Values from the calculation:
Uncorrected formation energy (kJ/mol of formula units): -2076
Crystal system: orthorhombic
Space group: No. 59

abc: 6.8830 6.9099 9.7462
angles: 90.00 90.00 90.00
Sites, in units of the cell vectors:
Cs  0.5000  0.7513  0.2493
Cs  0.0000  0.2487  0.7493
Cs  0.5000  0.7513  0.7507
Cs  0.0000  0.2487  0.2507
Rb  0.0000  0.7481  0.5000
Rb  0.5000  0.2519  0.0000
Hg  0.5000  0.2483  0.5000
Hg  0.0000  0.7517  0.0000
F  0.5000  0.2473  0.2723
F  0.5000  0.2473  0.7277
F  0.0000  0.7527  0.2277
F  0.0000  0.7527  0.7723
F  0.2718  0.0211  0.5000
F  0.7282  0.0211  0.5000
F  0.2714  0.4749  0.5000
F  0.7286  0.4749  0.5000
F  0.7714  0.5251  0.0000
F  0.2286  0.5251  0.0000
F  0.2282  0.9789  0.0000
F  0.7718  0.9789  0.0000

---

Entry 4:
The following is a DFT calculation (PBE) of crystalline CsRb2HgF at its relaxed geometry.

Values from the calculation:
Energy above the most stable polymorph in this dataset (meV per atom): 0
Uncorrected formation energy (kJ/mol of formula units): -530
Crystal system: tetragonal
Space group: No. 123

abc: 5.7887 5.7887 6.1665
angles: 90.00 90.00 90.00
Sites, in units of the cell vectors:
Cs  0.0000  0.0000  0.5000
Hg  0.5000  0.5000  0.5000
Rb  0.0000  0.5000  0.0000
Rb  0.5000  0.0000  0.0000
F  0.0000  0.0000  0.0000

---

Entry 5:
The following is a DFT calculation (PBE) of crystalline Cs2RbHg2F7 at its relaxed geometry.

Values from the calculation:
Uncorrected formation energy (kJ/mol of formula units): -2453
Crystal system: monoclinic
Space group: No. 12

abc: 4.6856 4.6856 12.3566
angles: 79.08 79.08 90.00
Sites, in units of the cell vectors:
Cs  0.8174  0.8174  0.3654
Cs  0.1826  0.1826  0.6346
Rb  0.0000  0.0000  0.0000
Hg  0.5963  0.5963  0.8069
Hg  0.4037  0.4037  0.1931
F  0.5000  0.5000  0.0000
F  0.3082  0.3082  0.3855
F  0.6918  0.6918  0.6145
F  0.9077  0.4080  0.1854
F  0.4080  0.9077  0.1854
F  0.5920  0.0923  0.8146
F  0.0923  0.5920  0.8146

---

Entry 6:
The following is a DFT calculation (PBE) of crystalline Cs2RbHg3F8 at its relaxed geometry.

Values from the calculation:
Uncorrected formation energy (kJ/mol of formula units): -2538
Crystal system: trigonal
Space group: No. 160

abc: 7.5975 7.5975 8.0601
angles: 61.88 61.88 60.00
Sites, in units of the cell vectors:
Cs  0.1238  0.1238  0.6285
Cs  0.4983  0.4983  0.5050
Rb  0.8821  0.8821  0.3536
Hg  0.5009  0.9959  0.0022
Hg  0.9959  0.5009  0.0022
Hg  0.5009  0.5009  0.0022
F  0.2708  0.2708  0.1877
F  0.7334  0.7334  0.7999
F  0.2440  0.2440  0.8286
F  0.6834  0.2440  0.8286
F  0.2440  0.6834  0.8286
F  0.7534  0.3082  0.1849
F  0.3082  0.7534  0.1849
F  0.7534  0.7534  0.1849

---

Entry 7:
The following is a DFT calculation (PBE) of crystalline Cs2ReHgF6 at its relaxed geometry.

Values from the calculation:
Uncorrected formation energy (kJ/mol of formula units): -2118
Crystal system: cubic
Space group: No. 225

abc: 7.0343 7.0343 7.0339
angles: 60.00 60.00 90.00
Sites, in units of the cell vectors:
Cs  0.7500  0.2500  0.5000
Cs  0.2500  0.7500  0.5000
Re  0.5000  0.5000  0.0000
Hg  0.0000  0.0000  0.0000
F  0.3003  0.3003  0.3995
F  0.6997  0.6997  0.6005
F  0.3003  0.3003  0.0000
F  0.6997  0.6997  0.0000
F  0.6997  0.3003  0.0000
F  0.3003  0.6997  0.0000

---

Entry 8:
The following is a DFT calculation (PBE) of crystalline CsHgRhF6 at its relaxed geometry.

Values from the calculation:
Uncorrected formation energy (kJ/mol of formula units): -1611
Crystal system: monoclinic
Space group: No. 5

abc: 5.9859 5.9856 6.2031
angles: 90.05 89.94 59.87
Sites, in units of the cell vectors:
Cs  0.9998  0.9999  0.0000
Hg  0.6663  0.6664  0.5000
Rh  0.3334  0.3334  0.5000
F  0.0475  0.3461  0.3224
F  0.3461  0.0475  0.6776
F  0.6057  0.3476  0.6778
F  0.0455  0.6079  0.6767
F  0.3476  0.6058  0.3222
F  0.6078  0.0455  0.3233

---

Entry 9:
The following is a DFT calculation (PBE) of crystalline Cs2HgRuF6 at its relaxed geometry.

Values from the calculation:
Uncorrected formation energy (kJ/mol of formula units): -1974
Crystal system: cubic
Space group: No. 225

abc: 6.9395 6.9395 6.9399
angles: 60.00 60.00 90.00
Sites, in units of the cell vectors:
Cs  0.7500  0.2500  0.5000
Cs  0.2500  0.7500  0.5000
Ru  0.5000  0.5000  0.0000
Hg  0.0000  0.0000  0.0000
F  0.3003  0.3003  0.3994
F  0.6997  0.6997  0.6006
F  0.3002  0.3002  0.0000
F  0.6998  0.6998  0.0000
F  0.6998  0.3002  0.0000
F  0.3002  0.6998  0.0000

---

Entry 10:
The following is a DFT calculation (PBE) of crystalline CsHgRuF6 at its relaxed geometry.

Values from the calculation:
Uncorrected formation energy (kJ/mol of formula units): -1624
Crystal system: orthorhombic
Space group: No. 74

abc: 7.9091 7.6681 7.7211
angles: 119.77 120.81 90.00
Sites, in units of the cell vectors:
Cs  0.8548  0.6048  0.7095
Cs  0.1452  0.3952  0.2905
Hg  0.5000  0.0000  0.5000
Hg  0.0000  0.0000  0.5000
Ru  0.5000  0.5000  0.0000
Ru  0.5000  0.0000  0.0000
F  0.5643  0.8143  0.1286
F  0.8546  0.1046  0.7093
F  0.8043  0.1575  0.2566
F  0.4523  0.5991  0.2566
F  0.4523  0.1575  0.2566
F  0.8043  0.5991  0.2566
F  0.4357  0.1857  0.8714
F  0.1454  0.8954  0.2907
F  0.1957  0.8425  0.7434
F  0.5477  0.4009  0.7434
F  0.5477  0.8425  0.7434
F  0.1957  0.4009  0.7434

---

Entry 11:
The following is a DFT calculation (PBE) of crystalline Cs2HgSF6 at its relaxed geometry.

Values from the calculation:
Uncorrected formation energy (kJ/mol of formula units): -1801
Crystal system: tetragonal
Space group: No. 139

abc: 6.3314 6.3314 6.9387
angles: 62.86 62.86 90.00
Sites, in units of the cell vectors:
Cs  0.7500  0.2500  0.5000
Cs  0.2500  0.7500  0.5000
S  0.5000  0.5000  0.0000
Hg  0.0000  0.0000  0.0000
F  0.1959  0.1959  0.6083
F  0.8041  0.8041  0.3917
F  0.2847  0.2847  0.0000
F  0.7153  0.7153  0.0000
F  0.7153  0.2847  0.0000
F  0.2847  0.7153  0.0000

---

Entry 12:
The following is a DFT calculation (PBE) of crystalline Cs2HgSbF6 at its relaxed geometry.

Values from the calculation:
Uncorrected formation energy (kJ/mol of formula units): -2193
Crystal system: cubic
Space group: No. 225

abc: 7.0272 7.0272 7.0267
angles: 60.00 60.00 90.00
Sites, in units of the cell vectors:
Cs  0.7500  0.2500  0.5000
Cs  0.2500  0.7500  0.5000
Sb  0.5000  0.5000  0.0000
Hg  0.0000  0.0000  0.0000
F  0.2903  0.2903  0.4195
F  0.7097  0.7097  0.5805
F  0.2903  0.2903  0.0000
F  0.7097  0.7097  0.0000
F  0.7097  0.2903  0.0000
F  0.2903  0.7097  0.0000